Entry 1:
# GaBi2Pt

GaBi2Pt after structural relaxation (PBE, Alexandria).

Properties
N(E_F)   3.08 states/eV per cell
ΔE_f   0.2862 eV/atom
Crystal system   trigonal

Cell lengths 3.284, 3.284, 11.097 Å; angles 81.49, 81.49, 60.00 degrees
Element x y z (fractional)
Ga: 0.500 0.500 0.500
Bi: 0.082 0.082 0.754
Bi: 0.918 0.918 0.246
Pt: 0.000 0.000 0.000

=====

Entry 2:
# GaBiPt

GaBiPt after structural relaxation (PBE, Alexandria).

Properties
N(E_F)   1.75 states/eV per cell
ΔE_f   -0.2837 eV/atom
Crystal system   monoclinic

Cell lengths 3.710, 6.206, 6.402 Å; angles 108.36, 106.84, 90.00 degrees
Element x y z (fractional)
Bi: 0.441 0.719 0.881
Bi: 0.559 0.281 0.119
Pt: 0.246 0.306 0.491
Pt: 0.754 0.694 0.509
Ga: 0.834 0.136 0.667
Ga: 0.166 0.864 0.333